i) Computed, not measured: a relaxed Pr8Dy3Sc2 crystal at the PBE-GGA level of DFT.

Values from the calculation:
**Density of states at the Fermi level**: 21.53 states/eV per cell
**Volume**: 435.2 Å³ per cell

Cell and atoms, written as CIF:
```
data_Pr8Dy3Sc2
_symmetry_space_group_name_H-M 'P 1'
_symmetry_Int_Tables_number 1
_symmetry_space_group_name_Hall 'P 1'
_cell_length_a 6.131
_cell_length_b 8.800
_cell_length_c 8.800
_cell_angle_alpha 84.25
_cell_angle_beta 73.22
_cell_angle_gamma 73.22
loop_
_atom_site_label
_atom_site_fract_x
_atom_site_fract_y
_atom_site_fract_z
Pr1 0.209 0.557 0.557
Pr2 0.791 0.443 0.443
Pr3 0.931 0.150 0.150
Pr4 0.069 0.850 0.850
Pr5 0.658 0.582 0.082
Pr6 0.658 0.082 0.582
Pr7 0.342 0.918 0.418
Pr8 0.342 0.418 0.918
Dy1 0.500 0.000 0.000
Dy2 0.000 0.252 0.748
Dy3 0.000 0.748 0.252
Sc1 0.351 0.292 0.292
Sc2 0.649 0.708 0.708
```

***

ii) Computed, not measured: a relaxed Pr8Dy3Sc2 crystal at the PBE-GGA level of DFT.

Values from the calculation:
**Density of states at the Fermi level**: 17.98 states/eV per cell
**Volume**: 448.1 Å³ per cell

Cell and atoms, written as CIF:
```
data_Pr8Dy3Sc2
_symmetry_space_group_name_H-M 'P 1'
_symmetry_Int_Tables_number 1
_symmetry_space_group_name_Hall 'P 1'
_cell_length_a 5.747
_cell_length_b 7.830
_cell_length_c 10.700
_cell_angle_alpha 111.46
_cell_angle_beta 90.02
_cell_angle_gamma 90.00
loop_
_atom_site_label
_atom_site_fract_x
_atom_site_fract_y
_atom_site_fract_z
Pr1 0.001 0.680 0.360
Pr2 0.999 0.320 0.640
Pr3 0.000 0.132 0.263
Pr4 0.000 0.868 0.737
Pr5 0.500 0.594 0.779
Pr6 0.500 0.186 0.779
Pr7 0.500 0.814 0.221
Pr8 0.500 0.406 0.221
Dy1 0.500 0.000 0.000
Dy2 0.000 0.288 0.000
Dy3 0.000 0.712 0.000
Sc1 0.499 0.239 0.478
Sc2 0.501 0.761 0.522
```

***

Relative energies, in kJ/mol of atoms, with the most stable structure set to zero: i) 0.0; ii) 4.6.

***

i) Computed, not measured: a relaxed Pr6Dy2Sc crystal at the PBE-GGA level of DFT.

Values from the calculation:
**Density of states at the Fermi level**: 13.32 states/eV per cell
**Volume**: 304.6 Å³ per cell

Cell and atoms, written as CIF:
```
data_Pr6Dy2Sc
_symmetry_space_group_name_H-M 'P 1'
_symmetry_Int_Tables_number 1
_symmetry_space_group_name_Hall 'P 1'
_cell_length_a 5.140
_cell_length_b 6.259
_cell_length_c 10.912
_cell_angle_alpha 106.29
_cell_angle_beta 90.00
_cell_angle_gamma 114.24
loop_
_atom_site_label
_atom_site_fract_x
_atom_site_fract_y
_atom_site_fract_z
Pr1 0.333 0.666 0.946
Pr2 0.667 0.334 0.054
Pr3 0.004 0.008 0.175
Pr4 0.669 0.338 0.393
Pr5 0.996 0.992 0.825
Pr6 0.331 0.662 0.607
Dy1 0.661 0.323 0.716
Dy2 0.339 0.677 0.284
Sc1 0.000 0.000 0.500
```

***

ii) Computed, not measured: a relaxed Pr6Dy2Sc crystal at the PBE-GGA level of DFT.

Values from the calculation:
**Density of states at the Fermi level**: 31.87 states/eV per cell
**Volume**: 712.3 Å³ per cell

Cell and atoms, written as CIF:
```
data_Pr6Dy2Sc
_symmetry_space_group_name_H-M 'P 1'
_symmetry_Int_Tables_number 1
_symmetry_space_group_name_Hall 'P 1'
_cell_length_a 8.232
_cell_length_b 8.232
_cell_length_c 10.511
_cell_angle_alpha 90.00
_cell_angle_beta 90.00
_cell_angle_gamma 90.00
loop_
_atom_site_label
_atom_site_fract_x
_atom_site_fract_y
_atom_site_fract_z
Pr1 0.264 0.264 0.336
Pr2 0.736 0.736 0.336
Pr3 0.236 0.764 0.836
Pr4 0.764 0.236 0.836
Pr5 0.236 0.764 0.164
Pr6 0.764 0.236 0.164
Pr7 0.264 0.264 0.664
Pr8 0.736 0.736 0.664
Pr9 0.255 0.255 0.000
Pr10 0.745 0.745 0.000
Pr11 0.245 0.755 0.500
Pr12 0.755 0.245 0.500
Dy1 0.000 0.000 0.333
Dy2 0.500 0.500 0.833
Dy3 0.500 0.500 0.167
Dy4 0.000 0.000 0.667
Sc1 0.000 0.000 0.000
Sc2 0.500 0.500 0.500
```

***

Relative energies, in kJ/mol of atoms, with the most stable structure set to zero: i) 0.0; ii) 51.9.

***

i) Computed, not measured: a relaxed Pr12Dy7Sc crystal at the PBE-GGA level of DFT.

Values from the calculation:
**Density of states at the Fermi level**: 34.40 states/eV per cell
**Volume**: 687.9 Å³ per cell

Cell and atoms, written as CIF:
```
data_Pr12Dy7Sc
_symmetry_space_group_name_H-M 'P 1'
_symmetry_Int_Tables_number 1
_symmetry_space_group_name_Hall 'P 1'
_cell_length_a 9.448
_cell_length_b 9.448
_cell_length_c 9.448
_cell_angle_alpha 107.72
_cell_angle_beta 107.72
_cell_angle_gamma 107.72
loop_
_atom_site_label
_atom_site_fract_x
_atom_site_fract_y
_atom_site_fract_z
Pr1 0.780 0.323 0.618
Pr2 0.677 0.382 0.220
Pr3 0.404 0.057 0.294
Pr4 0.943 0.706 0.596
Pr5 0.382 0.220 0.677
Pr6 0.706 0.596 0.943
Pr7 0.294 0.404 0.057
Pr8 0.618 0.780 0.323
Pr9 0.057 0.294 0.404
Pr10 0.596 0.943 0.706
Pr11 0.323 0.618 0.780
Pr12 0.220 0.677 0.382
Dy1 0.101 0.686 0.994
Dy2 0.314 0.006 0.899
Dy3 0.006 0.899 0.314
Dy4 0.500 0.500 0.500
Dy5 0.994 0.101 0.686
Dy6 0.686 0.994 0.101
Dy7 0.899 0.314 0.006
Sc1 0.000 0.000 0.000
```

***

ii) Computed, not measured: a relaxed Pr12Dy7Sc crystal at the PBE-GGA level of DFT.

Values from the calculation:
**Density of states at the Fermi level**: 28.63 states/eV per cell
**Volume**: 699.8 Å³ per cell

Cell and atoms, written as CIF:
```
data_Pr12Dy7Sc
_symmetry_space_group_name_H-M 'P 1'
_symmetry_Int_Tables_number 1
_symmetry_space_group_name_Hall 'P 1'
_cell_length_a 6.262
_cell_length_b 11.550
_cell_length_c 11.550
_cell_angle_alpha 116.81
_cell_angle_beta 100.41
_cell_angle_gamma 100.41
loop_
_atom_site_label
_atom_site_fract_x
_atom_site_fract_y
_atom_site_fract_z
Pr1 0.089 0.588 0.176
Pr2 0.087 0.176 0.588
Pr3 0.579 0.648 0.001
Pr4 0.422 0.001 0.352
Pr5 0.499 0.412 0.588
Pr6 0.070 0.648 0.648
Pr7 0.930 0.352 0.352
Pr8 0.501 0.588 0.412
Pr9 0.578 0.999 0.648
Pr10 0.421 0.352 0.999
Pr11 0.913 0.824 0.412
Pr12 0.911 0.412 0.824
Dy1 0.118 0.759 0.001
Dy2 0.882 0.001 0.241
Dy3 0.641 0.759 0.759
Dy4 0.500 0.000 0.000
Dy5 0.359 0.241 0.241
Dy6 0.118 0.999 0.759
Dy7 0.882 0.241 0.999
Sc1 0.000 0.000 0.000
```

***

Relative energies, in kJ/mol of atoms, with the most stable structure set to zero: i) 0.0; ii) 4.2.

***

i) Computed, not measured: a relaxed Pr7Dy12Sc crystal at the PBE-GGA level of DFT.

Values from the calculation:
**Density of states at the Fermi level**: 30.39 states/eV per cell
**Volume**: 731.9 Å³ per cell

Cell and atoms, written as CIF:
```
data_Pr7Dy12Sc
_symmetry_space_group_name_H-M 'P 1'
_symmetry_Int_Tables_number 1
_symmetry_space_group_name_Hall 'P 1'
_cell_length_a 9.833
_cell_length_b 9.833
_cell_length_c 9.833
_cell_angle_alpha 109.47
_cell_angle_beta 109.47
_cell_angle_gamma 109.47
loop_
_atom_site_label
_atom_site_fract_x
_atom_site_fract_y
_atom_site_fract_z
Pr1 0.500 0.500 0.000
Pr2 0.000 0.500 0.500
Pr3 0.500 0.000 0.500
Pr4 0.500 0.500 0.500
Pr5 0.000 0.000 0.500
Pr6 0.500 0.000 0.000
Pr7 0.000 0.500 0.000
Dy1 0.517 0.759 0.759
Dy2 0.000 0.759 0.241
Dy3 0.483 0.241 0.241
Dy4 0.000 0.241 0.759
Dy5 0.759 0.000 0.241
Dy6 0.759 0.517 0.759
Dy7 0.241 0.000 0.759
Dy8 0.241 0.483 0.241
Dy9 0.759 0.759 0.517
Dy10 0.241 0.241 0.483
Dy11 0.759 0.241 0.000
Dy12 0.241 0.759 0.000
Sc1 0.000 0.000 0.000
```

***

ii) Computed, not measured: a relaxed Pr7Dy12Sc crystal at the PBE-GGA level of DFT.

Values from the calculation:
**Density of states at the Fermi level**: 32.99 states/eV per cell
**Volume**: 670.4 Å³ per cell

Cell and atoms, written as CIF:
```
data_Pr7Dy12Sc
_symmetry_space_group_name_H-M 'P 1'
_symmetry_Int_Tables_number 1
_symmetry_space_group_name_Hall 'P 1'
_cell_length_a 8.762
_cell_length_b 8.762
_cell_length_c 8.762
_cell_angle_alpha 92.63
_cell_angle_beta 92.63
_cell_angle_gamma 92.63
loop_
_atom_site_label
_atom_site_fract_x
_atom_site_fract_y
_atom_site_fract_z
Pr1 0.878 0.631 0.953
Pr2 0.369 0.047 0.122
Pr3 0.047 0.122 0.369
Pr4 0.500 0.500 0.500
Pr5 0.953 0.878 0.631
Pr6 0.631 0.953 0.878
Pr7 0.122 0.369 0.047
Dy1 0.864 0.261 0.713
Dy2 0.739 0.287 0.136
Dy3 0.558 0.163 0.459
Dy4 0.837 0.541 0.442
Dy5 0.287 0.136 0.739
Dy6 0.541 0.442 0.837
Dy7 0.459 0.558 0.163
Dy8 0.713 0.864 0.261
Dy9 0.163 0.459 0.558
Dy10 0.442 0.837 0.541
Dy11 0.261 0.713 0.864
Dy12 0.136 0.739 0.287
Sc1 0.000 0.000 0.000
```

***

Relative energies, in kJ/mol of atoms, with the most stable structure set to zero: i) 39.3; ii) 0.0.